1.
Density functional theory data (PBE-GGA) for a relaxed LiCaSc2 crystal.

Summary:
Density of states at the Fermi level (states/eV/f.u.): 5.98
Polymorph energy (0 for the lowest one) (eV/f.u.): 0.37
DFT total energy (eV for the cell shown): -15.68
V (Å³/atom): 26.764
ΔE_f (eV/atom): 0.224
Crystal system: orthorhombic

Unit cell a=3.613 b=5.247 c=5.646 alpha=90.00 beta=90.00 gamma=90.00
Space group Pmmm (No. 47)
Symmetry-distinct sites (fractional):
Li (0.000, 0.000, 0.000) [1 per cell]
Ca (0.500, 0.500, 0.000) [1 per cell]
Sc (0.000, 0.500, 0.500) [1 per cell]
Sc (0.500, 0.000, 0.500) [1 per cell]


2.
Density functional theory data (PBE-GGA) for a relaxed LiCa2Sc crystal.

Summary:
Density of states at the Fermi level (states/eV/f.u.): 3.97
Polymorph energy (0 for the lowest one) (eV/f.u.): 0.12
DFT total energy (eV for the cell shown): -11.52
V (Å³/atom): 31.481
ΔE_f (eV/atom): 0.183
Crystal system: orthorhombic

Unit cell a=3.821 b=5.741 c=5.740 alpha=90.00 beta=90.00 gamma=90.00
Space group Pmm2 (No. 25)
Symmetry-distinct sites (fractional):
Li (0.000, 0.000, 0.000) [1 per cell]
Ca (0.500, 0.000, 0.502) [1 per cell]
Ca (0.500, 0.500, 0.011) [1 per cell]
Sc (0.000, 0.500, 0.512) [1 per cell]


3.
Density functional theory data (PBE-GGA) for a relaxed LiCa2Sc crystal.

Summary:
Density of states at the Fermi level (states/eV/f.u.): 3.16
Polymorph energy (0 for the lowest one) (eV/f.u.): 0.00
DFT total energy (eV for the cell shown): -11.63
V (Å³/atom): 31.158
ΔE_f (eV/atom): 0.154
Crystal system: monoclinic

Unit cell a=3.994 b=3.994 c=7.815 alpha=90.00 beta=90.05 gamma=90.00
Space group P2/m (No. 10)
Symmetry-distinct sites (fractional):
Li (0.000, 0.000, 0.000) [1 per cell]
Ca (0.500, 0.500, 0.247) [2 per cell]
Sc (0.000, 0.000, 0.500) [1 per cell]


4.
Density functional theory data (PBE-GGA) for a relaxed LiCaSc2 crystal.

Summary:
Density of states at the Fermi level (states/eV/f.u.): 7.51
Polymorph energy (0 for the lowest one) (eV/f.u.): 0.61
DFT total energy (eV for the cell shown): -30.88
V (Å³/atom): 27.118
ΔE_f (eV/atom): 0.284
Crystal system: tetragonal

Unit cell a=4.418 b=4.418 c=11.112 alpha=90.00 beta=90.00 gamma=90.00
Space group I4/mmm (No. 139)
Symmetry-distinct sites (fractional):
Li (0.000, 0.000, 0.000) [2 per cell]
Ca (0.000, 0.000, 0.500) [2 per cell]
Sc (0.000, 0.500, 0.250) [4 per cell]


5.
Density functional theory data (PBE-GGA) for a relaxed LiCa2Sc crystal.

Summary:
Density of states at the Fermi level (states/eV/f.u.): 6.14
Polymorph energy (0 for the lowest one) (eV/f.u.): 0.33
DFT total energy (eV for the cell shown): -22.61
V (Å³/atom): 31.067
ΔE_f (eV/atom): 0.236
Crystal system: orthorhombic

Unit cell a=3.869 b=5.799 c=11.078 alpha=90.00 beta=90.00 gamma=90.00
Space group Immm (No. 71)
Symmetry-distinct sites (fractional):
Li (0.000, 0.000, 0.000) [2 per cell]
Ca (0.000, 0.500, 0.274) [4 per cell]
Sc (0.000, 0.000, 0.500) [2 per cell]


6.
Density functional theory data (PBE-GGA) for a relaxed LiCaSc2 crystal.

Summary:
Density of states at the Fermi level (states/eV/f.u.): 7.26
Polymorph energy (0 for the lowest one) (eV/f.u.): 0.18
DFT total energy (eV for the cell shown): -31.74
V (Å³/atom): 26.345
ΔE_f (eV/atom): 0.178
Crystal system: orthorhombic

Unit cell a=3.486 b=5.317 c=11.372 alpha=90.00 beta=90.00 gamma=90.00
Space group Immm (No. 71)
Symmetry-distinct sites (fractional):
Li (0.000, 0.000, 0.000) [2 per cell]
Ca (0.000, 0.000, 0.500) [2 per cell]
Sc (0.000, 0.500, 0.274) [4 per cell]


7.
Density functional theory data (PBE-GGA) for a relaxed LiCaSc3 crystal.

Summary:
Density of states at the Fermi level (states/eV/f.u.): 3.14
Polymorph energy (0 for the lowest one) (eV/f.u.): 3.19
DFT total energy (eV for the cell shown): -17.29
V (Å³/atom): 29.905
ΔE_f (eV/atom): 1.125
Crystal system: cubic

Unit cell a=5.308 b=5.308 c=5.308 alpha=90.00 beta=90.00 gamma=90.00
Space group Pm-3m (No. 221)
Symmetry-distinct sites (fractional):
Li (0.000, 0.000, 0.000) [1 per cell]
Ca (0.500, 0.500, 0.500) [1 per cell]
Sc (0.000, 0.500, 0.500) [3 per cell]


8.
Density functional theory data (PBE-GGA) for a relaxed LiCaSc crystal.

Summary:
Density of states at the Fermi level (states/eV/f.u.): 5.17
Polymorph energy (0 for the lowest one) (eV/f.u.): 1.37
DFT total energy (eV for the cell shown): -34.52
V (Å³/atom): 31.091
ΔE_f (eV/atom): 0.539
Crystal system: cubic

Unit cell a=7.199 b=7.199 c=7.199 alpha=90.00 beta=90.00 gamma=90.00
Space group F-43m (No. 216)
Symmetry-distinct sites (fractional):
Li (0.000, 0.000, 0.000) [4 per cell]
Ca (0.250, 0.250, 0.750) [4 per cell]
Sc (0.250, 0.250, 0.250) [4 per cell]


9.
Density functional theory data (PBE-GGA) for a relaxed LiCa2Sc crystal.

Summary:
Density of states at the Fermi level (states/eV/f.u.): 6.37
Polymorph energy (0 for the lowest one) (eV/f.u.): 0.41
DFT total energy (eV for the cell shown): -22.44
V (Å³/atom): 31.875
ΔE_f (eV/atom): 0.257
Crystal system: tetragonal

Unit cell a=4.866 b=4.866 c=10.772 alpha=90.00 beta=90.00 gamma=90.00
Space group I-4m2 (No. 119)
Symmetry-distinct sites (fractional):
Li (0.000, 0.000, 0.000) [2 per cell]
Ca (0.000, 0.000, 0.500) [2 per cell]
Ca (0.000, 0.500, 0.250) [2 per cell]
Sc (0.000, 0.500, 0.750) [2 per cell]


10.
Density functional theory data (PBE-GGA) for a relaxed Li2CaSc crystal.

Summary:
Density of states at the Fermi level (states/eV/f.u.): 4.63
Polymorph energy (0 for the lowest one) (eV/f.u.): 0.07
DFT total energy (eV for the cell shown): -11.53
V (Å³/atom): 25.542
ΔE_f (eV/atom): 0.158
Crystal system: orthorhombic

Unit cell a=3.654 b=3.700 c=7.556 alpha=90.00 beta=90.00 gamma=90.00
Space group Pmmm (No. 47)
Symmetry-distinct sites (fractional):
Li (0.000, 0.000, 0.219) [2 per cell]
Ca (0.500, 0.500, 0.500) [1 per cell]
Sc (0.500, 0.500, 0.000) [1 per cell]


11.
Density functional theory data (PBE-GGA) for a relaxed LiCa2Sc crystal.

Summary:
Density of states at the Fermi level (states/eV/f.u.): 5.50
Polymorph energy (0 for the lowest one) (eV/f.u.): 0.02
DFT total energy (eV for the cell shown): -11.61
V (Å³/atom): 31.552
ΔE_f (eV/atom): 0.158
Crystal system: tetragonal

Unit cell a=3.618 b=3.618 c=9.641 alpha=90.00 beta=90.00 gamma=90.00
Space group P4/mmm (No. 123)
Symmetry-distinct sites (fractional):
Li (0.000, 0.000, 0.000) [1 per cell]
Ca (0.500, 0.500, 0.241) [2 per cell]
Sc (0.000, 0.000, 0.500) [1 per cell]


12.
Density functional theory data (PBE-GGA) for a relaxed Li2CaSc crystal.

Summary:
Density of states at the Fermi level (states/eV/f.u.): 5.18
Polymorph energy (0 for the lowest one) (eV/f.u.): 0.41
DFT total energy (eV for the cell shown): -22.39
V (Å³/atom): 27.297
ΔE_f (eV/atom): 0.241
Crystal system: monoclinic

Unit cell a=10.579 b=3.267 c=6.357 alpha=90.00 beta=96.37 gamma=90.00
Space group C2/m (No. 12)
Symmetry-distinct sites (fractional):
Li (0.244, 0.000, 0.212) [4 per cell]
Ca (0.000, 0.000, 0.500) [2 per cell]
Sc (0.000, 0.500, 0.000) [2 per cell]


13.
Density functional theory data (PBE-GGA) for a relaxed LiCaSc2 crystal.

Summary:
Density of states at the Fermi level (states/eV/f.u.): 6.08
Polymorph energy (0 for the lowest one) (eV/f.u.): 0.46
DFT total energy (eV for the cell shown): -31.17
V (Å³/atom): 26.430
ΔE_f (eV/atom): 0.248
Crystal system: orthorhombic

Unit cell a=3.584 b=5.501 c=10.724 alpha=90.00 beta=90.00 gamma=90.00
Space group Imm2 (No. 44)
Symmetry-distinct sites (fractional):
Li (0.000, 0.000, 0.000) [2 per cell]
Ca (0.000, 0.500, 0.264) [2 per cell]
Sc (0.000, 0.000, 0.482) [2 per cell]
Sc (0.000, 0.500, 0.723) [2 per cell]


14.
Density functional theory data (PBE-GGA) for a relaxed LiCaSc2 crystal.

Summary:
Density of states at the Fermi level (states/eV/f.u.): 5.97
Polymorph energy (0 for the lowest one) (eV/f.u.): 0.00
DFT total energy (eV for the cell shown): -16.05
V (Å³/atom): 27.030
ΔE_f (eV/atom): 0.133
Crystal system: tetragonal

Unit cell a=3.424 b=3.424 c=9.222 alpha=90.00 beta=90.00 gamma=90.00
Space group P4mm (No. 99)
Symmetry-distinct sites (fractional):
Li (0.000, 0.000, 0.000) [1 per cell]
Ca (0.500, 0.500, 0.735) [1 per cell]
Sc (0.000, 0.000, 0.442) [1 per cell]
Sc (0.500, 0.500, 0.219) [1 per cell]


15.
Density functional theory data (PBE-GGA) for a relaxed LiCaSc2 crystal.

Summary:
Density of states at the Fermi level (states/eV/f.u.): 5.82
Polymorph energy (0 for the lowest one) (eV/f.u.): 0.42
DFT total energy (eV for the cell shown): -31.25
V (Å³/atom): 26.912
ΔE_f (eV/atom): 0.238
Crystal system: monoclinic

Unit cell a=11.535 b=3.395 c=5.844 alpha=90.00 beta=109.83 gamma=90.00
Space group Cm (No. 8)
Symmetry-distinct sites (fractional):
Li (0.000, 0.000, 0.000) [2 per cell]
Ca (0.245, 0.500, 0.134) [2 per cell]
Sc (0.033, 0.500, 0.510) [2 per cell]
Sc (0.280, 0.000, 0.651) [2 per cell]


16.
Density functional theory data (PBE-GGA) for a relaxed LiCa4Sc3Se8 crystal.

Summary:
Density of states at the Fermi level (states/eV/f.u.): 4.90
DFT total energy (eV for the cell shown): -256.25
V (Å³/atom): 23.185
Crystal system: trigonal
Energy relative to the elements, uncorrected (eV/f.u.): -28.62

Unit cell a=8.0422 b=8.0422 c=19.8688 alpha=90.00 beta=90.00 gamma=120.00
Space group R-3m (No. 166, hexagonal axes)
Symmetry-distinct sites (fractional):
Li (0.0000, 0.0000, 0.0000) [3 per cell]
Ca (0.0000, 0.0000, 0.5000) [3 per cell]
Ca (0.0000, 0.5000, 0.5000) [9 per cell]
Sc (0.0000, 0.5000, 0.0000) [9 per cell]
Se (0.0000, 0.0000, 0.2561) [6 per cell]
Se (0.0025, 0.5012, 0.2567) [18 per cell]


17.
Density functional theory data (PBE-GGA) for a relaxed LiCa3Sc3Se8 crystal.

Summary:
DFT total energy (eV for the cell shown): -241.42
V (Å³/atom): 24.253
Crystal system: trigonal
Energy relative to the elements, uncorrected (eV/f.u.): -25.68

Unit cell a=7.9356 b=7.9356 c=20.0125 alpha=90.00 beta=90.00 gamma=120.00
Space group R-3m (No. 166, hexagonal axes)
Symmetry-distinct sites (fractional):
Li (0.0000, 0.0000, 0.0000) [3 per cell]
Ca (0.0000, 0.5000, 0.5000) [9 per cell]
Sc (0.0000, 0.5000, 0.0000) [9 per cell]
Se (0.0000, 0.0000, 0.2565) [6 per cell]
Se (0.0088, 0.5044, 0.2577) [18 per cell]


18.
Density functional theory data (PBE-GGA) for a relaxed LiCa3Sc2Se6 crystal.

Summary:
Density of states at the Fermi level (states/eV/f.u.): 3.95
DFT total energy (eV for the cell shown): -125.84
V (Å³/atom): 23.299
Crystal system: monoclinic
Energy relative to the elements, uncorrected (eV/f.u.): -21.43

Unit cell a=6.988 b=12.098 c=7.012 alpha=90.00 beta=109.39 gamma=90.00
Space group C2/m (No. 12)
Symmetry-distinct sites (fractional):
Li (0.000, 0.000, 0.000) [2 per cell]
Ca (0.000, 0.165, 0.500) [4 per cell]
Ca (0.000, 0.500, 0.500) [2 per cell]
Sc (0.000, 0.333, 0.000) [4 per cell]
Se (0.238, 0.500, 0.229) [4 per cell]
Se (0.246, 0.169, 0.231) [8 per cell]


19.
Density functional theory data (PBE-GGA) for a relaxed LiCa2ScSe4 crystal.

Summary:
DFT total energy (eV for the cell shown): -40.26
V (Å³/atom): 23.459
Crystal system: monoclinic
Energy relative to the elements, uncorrected (eV/f.u.): -14.08

Unit cell a=6.962 b=4.062 c=7.002 alpha=90.00 beta=108.61 gamma=90.00
Space group P2/m (No. 10)
Symmetry-distinct sites (fractional):
Li (0.000, 0.000, 0.000) [1 per cell]
Ca (0.500, 0.000, 0.500) [1 per cell]
Ca (0.500, 0.500, 0.000) [1 per cell]
Sc (0.000, 0.500, 0.500) [1 per cell]
Se (0.227, 0.000, 0.740) [2 per cell]
Se (0.232, 0.500, 0.253) [2 per cell]


20.
Density functional theory data (PBE-GGA) for a relaxed LiCaScSi crystal.

Summary:
Density of states at the Fermi level (states/eV/f.u.): 2.76
DFT total energy (eV for the cell shown): -66.91
V (Å³/atom): 20.625
Crystal system: cubic
Energy relative to the elements, uncorrected (eV/f.u.): -1.06

Unit cell a=6.910 b=6.910 c=6.910 alpha=90.00 beta=90.00 gamma=90.00
Space group F-43m (No. 216)
Symmetry-distinct sites (fractional):
Li (0.000, 0.000, 0.000) [4 per cell]
Ca (0.250, 0.250, 0.750) [4 per cell]
Sc (0.250, 0.250, 0.250) [4 per cell]
Si (0.000, 0.000, 0.500) [4 per cell]